VASP calculation (PBE) on crystalline SmDyGa6 at its relaxed geometry.

Properties
size of the total moment: 0.00 μB/cell
crystal system: hexagonal
total DFT energy (no corrections): -3.99 eV per atom
ρ: 7.67 g cm⁻³

abc: 6.3414 6.3414 4.5448
angles: 90.00 90.00 120.00
Sites, in units of the cell vectors:
Dy: 0.3333 0.6667 0.0000
Ga: 0.2897 0.1448 0.0000
Ga: 0.8552 0.1448 0.0000
Ga: 0.8552 0.7103 0.0000
Ga: 0.1476 0.2952 0.5000
Ga: 0.1476 0.8524 0.5000
Ga: 0.7048 0.8524 0.5000
Sm: 0.6667 0.3333 0.5000